Crystalline NdLuPO at its relaxed geometry, computed with PBE-GGA.

Cell lengths 4.288, 4.288, 8.678 Å; angles 90.00, 90.00, 90.00 degrees
Fractional coordinates of all 8 atoms:
Lu1 0.250 0.250 0.088
Lu2 0.750 0.750 0.912
Nd1 0.750 0.250 0.500
Nd2 0.250 0.750 0.500
O1 0.750 0.250 0.000
O2 0.250 0.750 0.000
P1 0.750 0.750 0.284
P2 0.250 0.250 0.716

The calculation puts the relative energy among the computed polymorphs at 0.789 eV/f.u. The value obtained for the total energy is -6.668 eV/atom. The calculation puts the total moment at 0.23 Bohr magnetons per cell. Its space group is No. 129. Its crystal system is tetragonal.